## LiCo2BiN (PBE)

Data for a relaxed structure of LiCo2BiN.

Cell lengths 3.9746, 4.7811, 3.9746 Å; angles 90.00, 90.00, 90.00 degrees
Last column: nearest neighbours and their distance in Å.
Positions (direct):
Co 0.0000 0.0000 0.5000  2 Li 1.99
Co 0.5000 0.0000 0.0000  2 Li 1.99
Bi 0.0000 0.5000 0.0000  2 Li 2.39
Li 0.0000 0.0000 0.0000  4 Co 1.99
N 0.5000 0.5000 0.5000  4 Bi 2.81, 8 Co 3.11

## Properties
Final energy ... -19.77 eV/cell
E_form (uncorrected) ... 1.7129 eV per atom
Space-group type ... P4/mmm, No. 123
Magnetic moment ... 3.2 μB/f.u.
DOS at the Fermi energy ... 6.7 states/eV per cell
Energy above the lowest structure with this stoichiometry ... 818.7 kJ/mol of formula units